[1]
CaVPS2: optimized geometry, PBE.

abc: 5.0925 5.0925 5.0949
angles: 90.00 90.00 90.00
Last column: magnetic moment on the atom in μB.
Fractional coordinates of all 5 atoms:
S  0.5000  0.0000  0.0000  -0.23
S  0.0000  0.5000  0.0000  -0.23
Ca  0.0000  0.0000  0.0000  -0.01
P  0.0000  0.0000  0.5000  -0.26
V  0.5000  0.5000  0.5000  2.92

Energy relative to the lowest polymorph listed for this composition: 1465 meV per atom
E_form (uncorrected): 730 meV/atom
Space-group type: P4/mmm

[2]
CaVP2S8: optimized geometry, PBE.

abc: 5.8705 5.8705 8.3454
angles: 90.00 90.00 120.00
Last column: magnetic moment on the atom in μB.
Fractional coordinates of all 12 atoms:
S  0.3249  0.0055  0.6723  -0.03
S  0.3194  0.3249  0.3277  -0.03
S  0.9945  0.3194  0.6723  -0.03
S  0.6667  0.3333  0.0210  -0.03
S  0.6751  0.9945  0.3277  -0.03
S  0.0055  0.6806  0.3277  -0.03
S  0.3333  0.6667  0.9790  -0.03
S  0.6806  0.6751  0.6723  -0.03
P  0.6667  0.3333  0.2611  0.02
P  0.3333  0.6667  0.7389  0.02
Ca  0.0000  0.0000  0.0000  0.00
V  0.0000  0.0000  0.5000  1.11

E_form (uncorrected): -541 meV/atom
Space-group type: P-3

[3]
CaVPS2: optimized geometry, PBE.

abc: 4.6811 4.6811 4.5445
angles: 90.00 90.00 90.00
Fractional coordinates of all 5 atoms:
V  0.0000  0.0000  0.0000
S  0.0000  0.5000  0.0000
S  0.5000  0.0000  0.0000
Ca  0.5000  0.5000  0.5000
P  0.0000  0.0000  0.5000

Energy relative to the lowest polymorph listed for this composition: 0 meV per atom
E_form (uncorrected): -735 meV/atom
Space-group type: P4/mmm

[4]
CaPWS2: optimized geometry, PBE.

abc: 4.7266 4.7266 4.7862
angles: 90.00 90.00 90.00
Fractional coordinates of all 5 atoms:
P  0.0000  0.0000  0.5000
Ca  0.5000  0.5000  0.5000
S  0.5000  0.0000  0.0000
S  0.0000  0.5000  0.0000
W  0.0000  0.0000  0.0000

Energy relative to the lowest polymorph listed for this composition: 0 meV per atom
E_form (uncorrected): -498 meV/atom
Space-group type: P4/mmm

[5]
CaPWS2: optimized geometry, PBE.

abc: 5.0130 5.0130 5.0717
angles: 90.00 90.00 90.00
Last column: magnetic moment on the atom in μB.
Fractional coordinates of all 5 atoms:
P  0.0000  0.0000  0.5000  -0.36
Ca  0.0000  0.0000  0.0000  -0.01
S  0.0000  0.5000  0.0000  -0.30
S  0.5000  0.0000  0.0000  -0.30
W  0.5000  0.5000  0.5000  2.99

Energy relative to the lowest polymorph listed for this composition: 1897 meV per atom
E_form (uncorrected): 1399 meV/atom
Space-group type: P4/mmm

[6]
CaYP2S: optimized geometry, PBE.

abc: 5.2189 5.2189 5.2019
angles: 90.00 90.00 90.00
Fractional coordinates of all 5 atoms:
P  0.0000  0.5000  0.0000
P  0.5000  0.0000  0.0000
Ca  0.5000  0.5000  0.5000
S  0.0000  0.0000  0.5000
Y  0.0000  0.0000  0.0000

Energy relative to the lowest polymorph listed for this composition: 0 meV per atom
E_form (uncorrected): -421 meV/atom
Space-group type: P4/mmm

[7]
CaYP2S: optimized geometry, PBE.

abc: 5.0205 5.0205 5.0325
angles: 90.00 90.00 90.00
Fractional coordinates of all 5 atoms:
P  0.0000  0.5000  0.0000
P  0.5000  0.0000  0.0000
S  0.0000  0.0000  0.5000
Y  0.5000  0.5000  0.5000
Ca  0.0000  0.0000  0.0000

Energy relative to the lowest polymorph listed for this composition: 430 meV per atom
E_form (uncorrected): 9 meV/atom
Space-group type: P4/mmm

[8]
CaZnPS2: optimized geometry, PBE.

abc: 4.9103 4.9103 4.4588
angles: 90.00 90.00 90.00
Fractional coordinates of all 5 atoms:
P  0.0000  0.0000  0.5000
Ca  0.5000  0.5000  0.5000
S  0.0000  0.5000  0.0000
S  0.5000  0.0000  0.0000
Zn  0.0000  0.0000  0.0000

Energy relative to the lowest polymorph listed for this composition: 0 meV per atom
E_form (uncorrected): -236 meV/atom
Space-group type: P4/mmm

[9]
CaZnPS2: optimized geometry, PBE.

abc: 5.2061 5.2061 5.5109
angles: 90.00 90.00 90.00
Last column: magnetic moment on the atom in μB.
Fractional coordinates of all 5 atoms:
Zn  0.5000  0.5000  0.5000  -0.02
S  0.0000  0.5000  0.0000  0.45
S  0.5000  0.0000  0.0000  0.45
Ca  0.0000  0.0000  0.0000  0.01
P  0.0000  0.0000  0.5000  0.48

Energy relative to the lowest polymorph listed for this composition: 814 meV per atom
E_form (uncorrected): 579 meV/atom
Space-group type: P4/mmm

[10]
CaZnP2S: optimized geometry, PBE.

abc: 5.3161 5.5106 5.3161
angles: 90.00 90.00 90.00
Last column: magnetic moment on the atom in μB.
Fractional coordinates of all 5 atoms:
P  0.0000  0.0000  0.5000  0.26
P  0.5000  0.0000  0.0000  0.21
Zn  0.0000  0.5000  0.0000  0.01
Ca  0.0000  0.0000  0.0000  0.01
S  0.5000  0.5000  0.5000  -0.34

Energy relative to the lowest polymorph listed for this composition: 1223 meV per atom
E_form (uncorrected): 1241 meV/atom
Space-group type: P4/mmm

Number 1: density 2.34 g/cm3. Number 2: density 2.73 g/cm3. Number 3: density 3.10 g/cm3. Number 4: density 4.95 g/cm3. Number 5: density 4.16 g/cm3. Number 6: density 2.61 g/cm3. Number 7: density 2.92 g/cm3. Number 8: density 3.10 g/cm3. Number 9: density 2.23 g/cm3. Number 10: density 2.13 g/cm3.